[1]
! SrGdDy2 | Alexandria via LeMat-Bulk | GGA-PBE | relaxed; values from VASP
&SYSTEM
  ibrav = 0, nat = 4, ntyp = 3
/
ATOMIC_SPECIES
Sr 87.62 Sr.upf
Gd 157.25 Gd.upf
Dy 162.50 Dy.upf
ATOMIC_POSITIONS crystal
Sr 0.5000 0.5000 0.5000
Gd 0.5000 0.5000 0.0000
Dy 0.0000 0.0000 0.7783
Dy 0.0000 0.0000 0.2217
CELL_PARAMETERS angstrom
-0.6329 1.2102 -3.4252
3.3842 -1.0673 -1.0024
-3.7757 -9.4812 -2.6524
! Calculated formation energy: 0.1288 eV/atom



[2]
! SrGdDy | Alexandria via LeMat-Bulk | GGA-PBE | relaxed; values from VASP
&SYSTEM
  ibrav = 0, nat = 3, ntyp = 3
/
ATOMIC_SPECIES
Sr 87.62 Sr.upf
Gd 157.25 Gd.upf
Dy 162.50 Dy.upf
ATOMIC_POSITIONS crystal
Sr 0.0000 0.0000 0.9971
Gd 0.6667 0.3333 0.3555
Dy 0.3333 0.6667 0.6474
CELL_PARAMETERS angstrom
3.7367 0.0000 0.0000
-1.8683 3.2360 0.0000
0.0000 0.0000 9.2954
! Calculated formation energy: 0.1465 eV/atom



[3]
! SrGd2Dy | Alexandria via LeMat-Bulk | GGA-PBE | relaxed; values from VASP
&SYSTEM
  ibrav = 0, nat = 4, ntyp = 3
/
ATOMIC_SPECIES
Sr 87.62 Sr.upf
Gd 157.25 Gd.upf
Dy 162.50 Dy.upf
ATOMIC_POSITIONS crystal
Sr 0.0000 0.0000 0.0000
Gd 0.0928 0.0928 0.7216
Gd 0.9072 0.9072 0.2784
Dy 0.5000 0.5000 0.5000
CELL_PARAMETERS angstrom
3.6234 0.0000 0.0000
1.8117 3.1379 0.0000
1.8117 1.0460 12.7840
! Calculated formation energy: 0.1995 eV/atom



[4]
! Tb2GdDy | Alexandria via LeMat-Bulk | GGA-PBE | relaxed; values from VASP
&SYSTEM
  ibrav = 0, nat = 4, ntyp = 3
/
ATOMIC_SPECIES
Gd 157.25 Gd.upf
Tb 158.93 Tb.upf
Dy 162.50 Dy.upf
ATOMIC_POSITIONS crystal
Gd 0.5000 0.5000 0.0000
Tb 0.0000 0.0000 0.7478
Tb 0.0000 0.0000 0.2522
Dy 0.5000 0.5000 0.5000
CELL_PARAMETERS angstrom
-2.8736 -1.1658 1.7471
-1.1128 -1.6660 -2.9420
5.0381 -8.2623 2.7731
! Calculated formation energy: 0.0190 eV/atom



In meV per atom, the excess energy over the best structure of this formula in the dataset values for the records above are, in order, 0; 24; 96; 2.
In eV/atom, the calculated total energy values for the records above are, in order, -6.113; -6.642; -8.412; -6.967.